[1]
20
Lattice="0.0000 5.9650 5.9650 5.9650 0.0000 5.9650 5.9650 5.9650 0.0000" Properties=species:S:1:pos:R:3 comment="PBE Hf3HgC, optimized geometry" dos_ef_per_ev_cell=4.71 energy_ev_per_cell=-160.06 vol_a3_per_cell=424 relative_energy_ev_per_atom=0.3830 formation_energy_ev_per_atom=-0.126 pbc="T T T"
C 1.4913 1.4913 1.4913
C 4.4738 1.4913 4.4738
C 1.4913 4.4738 4.4738
C 4.4738 4.4738 1.4913
Hf 2.2593 5.9650 5.9650
Hf 5.2419 2.9825 2.9825
Hf 2.9825 2.9825 5.2419
Hf 0.7232 2.9825 2.9825
Hf 2.9825 0.7232 2.9825
Hf 5.9650 9.6707 5.9650
Hf 2.9825 5.2419 2.9825
Hf 2.9825 2.9825 0.7232
Hf 5.9650 2.2593 5.9650
Hf 9.6707 5.9650 5.9650
Hf 5.9650 5.9650 2.2593
Hf 5.9650 5.9650 9.6707
Hg 7.4563 7.4563 7.4563
Hg 4.4738 7.4563 4.4738
Hg 7.4563 4.4738 4.4738
Hg 4.4738 4.4738 7.4563

=====

[2]
5
Lattice="-2.4953 3.9694 2.4421 -4.2831 -3.0451 0.5731 1.8370 -1.7081 4.6534" Properties=species:S:1:pos:R:3 comment="PBE Pr3EuF, optimized geometry" dos_ef_per_ev_cell=3.12 energy_ev_per_cell=-31.19 vol_a3_per_cell=148 pbc="T T T"
Eu -2.4707 -0.3919 3.8343
Pr -2.1415 -1.5225 0.2865
Pr 0.9185 -0.8540 2.3267
Pr -1.2476 1.9847 1.2210
F 0.0000 0.0000 0.0000

=====

[3]
8
Lattice="-0.9253 1.9911 6.9596 4.2305 -5.5445 2.1488 3.9189 -0.1150 4.3800" Properties=species:S:1:pos:R:3 comment="PBE ZrGa2Pt, optimized geometry" dos_ef_per_ev_cell=2.68 energy_ev_per_cell=-45.30 vol_a3_per_cell=150 formation_energy_ev_per_atom=-0.501 pbc="T T T"
Ga 0.8999 0.5879 5.9412
Ga 3.5384 -3.3104 3.0801
Ga 4.0401 -1.2372 6.6303
Ga 5.9698 -3.3769 11.3251
Zr 1.6526 -1.7767 4.5542
Zr 4.9010 -3.7181 5.5415
Pt 0.0000 0.0000 0.0000
Pt 2.3231 0.0498 7.9469

=====

[4]
18
Lattice="4.3211 0.0000 0.0000 0.0000 7.4540 0.0000 -2.1606 -3.7270 7.7692" Properties=species:S:1:pos:R:3 comment="PBE Cu5Pd2Pt2, optimized geometry" dos_ef_per_ev_cell=11.21 energy_ev_per_cell=-86.78 vol_a3_per_cell=250 relative_energy_ev_per_atom=0.0670 formation_energy_ev_per_atom=-0.049 pbc="T T T"
Cu -0.0016 1.5141 6.5148
Cu 2.1622 5.2411 1.2544
Cu 2.1622 -2.2129 6.5148
Cu -0.0016 1.5141 1.2544
Cu -0.0020 -0.9616 2.6241
Cu 2.1626 2.7654 5.1451
Cu 2.1626 2.7654 2.6241
Cu -0.0020 -0.9616 5.1451
Cu -0.0042 4.0152 3.8846
Cu 2.1647 0.2882 3.8846
Pd 0.0000 6.4889 0.0000
Pd 2.1606 2.7619 0.0000
Pd 0.0045 1.5266 3.8846
Pd 2.1561 5.2536 3.8846
Pt 0.0018 4.0018 1.3934
Pt 2.1588 0.2749 6.3757
Pt 2.1588 0.2749 1.3934
Pt 0.0018 4.0018 6.3757